A) {
  "formula": "HoThN",
  "functional": "PBE",
  "state": "optimized geometry",
  "lattice_angstrom": [[-1.5757, 1.5757, 6.1334], [1.5757, -1.5757, 6.1334], [1.5757, 1.5757, -6.1334]],
  "species": ["Ho", "Th", "N"],
  "fractional_positions": [[0.0000, 0.0000, 0.0000], [0.2407, 0.2407, 0.0000], [0.6009, 0.6009, 0.0000]],
  "total_magnetization_mub_per_fu": 0.0
}


B) {
  "formula": "HoThN",
  "functional": "PBE",
  "state": "optimized geometry",
  "lattice_angstrom": [[0.0000, 4.7014, 5.9511], [4.5773, 0.0000, 5.9511], [4.5773, 4.7014, 0.0000]],
  "species": ["Ho", "Ho", "Ho", "Ho", "Th", "Th", "Th", "Th", "N", "N", "N", "N"],
  "fractional_positions": [[0.0000, 0.0000, 0.0000], [0.0000, 0.0000, 0.5000], [0.0000, 0.5000, 0.0000], [0.5000, 0.0000, 0.0000], [0.2393, 0.2393, 0.5107], [0.4893, 0.4893, 0.7607], [0.5107, 0.5107, 0.2393], [0.7607, 0.7607, 0.4893], [0.1721, 0.5779, 0.1721], [0.4221, 0.8279, 0.4221], [0.5779, 0.1721, 0.5779], [0.8279, 0.4221, 0.8279]],
  "total_magnetization_mub_per_fu": 0.0
}


Winner for stability: B)


A) {
  "formula": "Ho6Tl2N",
  "functional": "PBE",
  "state": "optimized geometry",
  "lattice_angstrom": [[0.0000, 4.8311, 4.8311], [4.8311, 0.0000, 4.8311], [4.8311, 4.8311, 0.0000]],
  "species": ["Ho", "Ho", "Ho", "Ho", "Ho", "Ho", "Tl", "Tl", "N"],
  "fractional_positions": [[0.2445, 0.2445, 0.7555], [0.2445, 0.7555, 0.2445], [0.2445, 0.7555, 0.7555], [0.7555, 0.2445, 0.2445], [0.7555, 0.2445, 0.7555], [0.7555, 0.7555, 0.2445], [0.2500, 0.2500, 0.2500], [0.7500, 0.7500, 0.7500], [0.0000, 0.0000, 0.0000]],
  "total_magnetization_mub_per_fu": 0.0
}


B) {
  "formula": "Ho6Tl2N",
  "functional": "PBE",
  "state": "optimized geometry",
  "lattice_angstrom": [[3.5148, 0.0000, 0.0000], [0.0000, 7.4911, 4.5275], [0.0000, -7.4911, 4.5275]],
  "species": ["Ho", "Ho", "Ho", "Ho", "Ho", "Ho", "Tl", "Tl", "N"],
  "fractional_positions": [[0.0000, 0.0000, 0.0000], [0.0000, 0.5325, 0.7438], [0.0000, 0.7438, 0.5325], [0.5000, 0.1694, 0.7618], [0.5000, 0.3422, 0.3422], [0.5000, 0.7618, 0.1694], [0.0000, 0.0857, 0.4282], [0.0000, 0.4282, 0.0857], [0.5000, 0.5887, 0.5887]],
  "total_magnetization_mub_per_fu": 0.0
}


Winner for stability: A)


A) {
  "formula": "Ho4Tl2N",
  "functional": "PBE",
  "state": "optimized geometry",
  "lattice_angstrom": [[-2.3575, 2.3575, 7.8936], [2.3575, -2.3575, 7.8936], [2.3575, 2.3575, -7.8936]],
  "species": ["Ho", "Ho", "Ho", "Ho", "Tl", "Tl", "N"],
  "fractional_positions": [[0.0000, 0.5000, 0.5000], [0.1636, 0.1636, 0.0000], [0.5000, 0.0000, 0.5000], [0.8364, 0.8364, 0.0000], [0.3614, 0.3614, 0.0000], [0.6386, 0.6386, 0.0000], [0.0000, 0.0000, 0.0000]],
  "total_magnetization_mub_per_fu": 0.0
}


B) {
  "formula": "Ho4Tl2N",
  "functional": "PBE",
  "state": "optimized geometry",
  "lattice_angstrom": [[6.4524, 0.0000, 0.0000], [0.0000, 6.8720, 0.0000], [-2.9387, 0.0000, 8.4295]],
  "species": ["Ho", "Ho", "Ho", "Ho", "Ho", "Ho", "Ho", "Ho", "Tl", "Tl", "Tl", "Tl", "N", "N"],
  "fractional_positions": [[0.0316, 0.0048, 0.2789], [0.0316, 0.4952, 0.2789], [0.3534, 0.7500, 0.0472], [0.4185, 0.7500, 0.6520], [0.5815, 0.2500, 0.3480], [0.6466, 0.2500, 0.9528], [0.9684, 0.5048, 0.7211], [0.9684, 0.9952, 0.7211], [0.1996, 0.2500, 0.0235], [0.3159, 0.2500, 0.5923], [0.6841, 0.7500, 0.4077], [0.8004, 0.7500, 0.9765], [0.1958, 0.7500, 0.7914], [0.8042, 0.2500, 0.2086]],
  "total_magnetization_mub_per_fu": 0.0
}


Winner for stability: A)


A) {
  "formula": "HoTmN",
  "functional": "PBE",
  "state": "optimized geometry",
  "lattice_angstrom": [[0.0000, 2.9695, 2.9695], [2.9695, 0.0000, 2.9695], [2.9695, 2.9695, 0.0000]],
  "species": ["Ho", "Tm", "N"],
  "fractional_positions": [[0.0000, 0.0000, 0.0000], [0.5000, 0.5000, 0.5000], [0.2500, 0.2500, 0.2500]],
  "total_magnetization_mub_per_fu": 0.0
}


B) {
  "formula": "HoTmN",
  "functional": "PBE",
  "state": "optimized geometry",
  "lattice_angstrom": [[3.4540, 0.0000, 0.0000], [-1.7270, 2.9913, 0.0000], [0.0000, 0.0000, 5.8801]],
  "species": ["Ho", "Tm", "N"],
  "fractional_positions": [[0.0000, 0.0000, 0.0000], [0.3333, 0.6667, 0.4514], [0.6667, 0.3333, 0.2319]],
  "total_magnetization_mub_per_fu": 0.6
}


C) {
  "formula": "HoTmN",
  "functional": "PBE",
  "state": "optimized geometry",
  "lattice_angstrom": [[2.4798, -2.4828, 0.0000], [2.4798, 2.4828, 0.0000], [-0.0108, 0.0000, 4.7090]],
  "species": ["Ho", "Tm", "N"],
  "fractional_positions": [[0.0000, 0.0000, 0.0000], [0.5000, 0.5000, 0.5000], [0.5000, 0.5000, 0.0000]],
  "total_magnetization_mub_per_fu": 0.0
}


D) {
  "formula": "HoTmN",
  "functional": "PBE",
  "state": "optimized geometry",
  "lattice_angstrom": [[-2.3069, 2.3069, 3.8091], [2.3069, -2.3069, 3.8091], [2.3069, 2.3069, -3.8091]],
  "species": ["Ho", "Tm", "N"],
  "fractional_positions": [[0.0000, 0.0000, 0.0000], [0.4658, 0.4658, 0.0000], [0.7317, 0.7317, 0.0000]],
  "total_magnetization_mub_per_fu": 0.0
}


Winner for stability: B)


A) {
  "formula": "Ho2WN4",
  "functional": "PBE",
  "state": "optimized geometry",
  "lattice_angstrom": [[5.7821, 0.0000, 0.0000], [0.0000, 5.9556, 0.0000], [-1.9951, 0.0000, 6.2188]],
  "species": ["Ho", "Ho", "Ho", "Ho", "W", "W", "N", "N", "N", "N", "N", "N", "N", "N"],
  "fractional_positions": [[0.1672, 0.2500, 0.0253], [0.2474, 0.2500, 0.5580], [0.7526, 0.7500, 0.4420], [0.8328, 0.7500, 0.9747], [0.2832, 0.7500, 0.8124], [0.7168, 0.2500, 0.1876], [0.0511, 0.5104, 0.7521], [0.0511, 0.9896, 0.7521], [0.4752, 0.7500, 0.0950], [0.4982, 0.7500, 0.6516], [0.5018, 0.2500, 0.3484], [0.5248, 0.2500, 0.9050], [0.9489, 0.0104, 0.2479], [0.9489, 0.4896, 0.2479]],
  "total_magnetization_mub_per_fu": 0.0
}


B) {
  "formula": "Ho2WN4",
  "functional": "PBE",
  "state": "optimized geometry",
  "lattice_angstrom": [[0.0000, 5.1868, 6.1833], [3.2609, 0.0000, 6.1833], [3.2609, 5.1868, 0.0000]],
  "species": ["Ho", "Ho", "Ho", "Ho", "W", "W", "N", "N", "N", "N", "N", "N", "N", "N"],
  "fractional_positions": [[0.0682, 0.6818, 0.0682], [0.3182, 0.9318, 0.3182], [0.6818, 0.0682, 0.6818], [0.9318, 0.3182, 0.9318], [0.3750, 0.3750, 0.3750], [0.6250, 0.6250, 0.6250], [0.1701, 0.7327, 0.3422], [0.2550, 0.3422, 0.7327], [0.2673, 0.8299, 0.7450], [0.3422, 0.2550, 0.1701], [0.6578, 0.7450, 0.8299], [0.7327, 0.1701, 0.2550], [0.7450, 0.6578, 0.2673], [0.8299, 0.2673, 0.6578]],
  "total_magnetization_mub_per_fu": 0.0
}


Winner for stability: B)


A) {
  "formula": "Ho3ZrN4",
  "functional": "PBE",
  "state": "optimized geometry",
  "lattice_angstrom": [[3.3993, -4.7906, 0.0000], [3.3993, 4.7906, 0.0000], [0.0000, 0.0000, 3.3870]],
  "species": ["Ho", "Ho", "Ho", "Zr", "N", "N", "N", "N"],
  "fractional_positions": [[0.0000, 0.0000, 0.0000], [0.0000, 0.5000, 0.5000], [0.5000, 0.0000, 0.5000], [0.5000, 0.5000, 0.0000], [0.2570, 0.7430, 0.0000], [0.2611, 0.2611, 0.5000], [0.7389, 0.7389, 0.5000], [0.7430, 0.2570, 0.0000]],
  "total_magnetization_mub_per_fu": 0.0
}


B) {
  "formula": "Ho3ZrN4",
  "functional": "PBE",
  "state": "optimized geometry",
  "lattice_angstrom": [[4.8000, 0.0000, 0.0000], [0.0000, 4.8000, 0.0000], [0.0000, 0.0000, 4.8000]],
  "species": ["Ho", "Ho", "Ho", "Zr", "N", "N", "N", "N"],
  "fractional_positions": [[0.0000, 0.0000, 0.5000], [0.0000, 0.5000, 0.0000], [0.5000, 0.0000, 0.0000], [0.5000, 0.5000, 0.5000], [0.0000, 0.0000, 0.0000], [0.0000, 0.5000, 0.5000], [0.5000, 0.0000, 0.5000], [0.5000, 0.5000, 0.0000]],
  "total_magnetization_mub_per_fu": 0.0
}


Winner for stability: A)


A) {
  "formula": "HoZrN",
  "functional": "PBE",
  "state": "optimized geometry",
  "lattice_angstrom": [[3.4902, 0.0000, 0.0000], [0.0000, 3.4902, 0.0000], [0.0000, 0.0000, 4.4342]],
  "species": ["Ho", "Zr", "N"],
  "fractional_positions": [[0.0000, 0.0000, 0.0000], [0.5000, 0.5000, 0.5000], [0.5000, 0.5000, 0.0000]],
  "total_magnetization_mub_per_fu": 0.0
}


B) {
  "formula": "HoZrN",
  "functional": "PBE",
  "state": "optimized geometry",
  "lattice_angstrom": [[0.0000, 2.8758, 5.8729], [1.6641, 0.0000, 5.8729], [1.6641, 2.8758, 0.0000]],
  "species": ["Ho", "Zr", "N"],
  "fractional_positions": [[0.0000, 0.0000, 0.0000], [0.7378, 0.7378, 0.2622], [0.3595, 0.3595, 0.6405]],
  "total_magnetization_mub_per_fu": 0.0
}


C) {
  "formula": "HoZrN",
  "functional": "PBE",
  "state": "optimized geometry",
  "lattice_angstrom": [[3.3701, 0.0000, 0.0000], [-1.6851, 2.9186, 0.0000], [0.0000, 0.0000, 5.6144]],
  "species": ["Ho", "Zr", "N"],
  "fractional_positions": [[0.0000, 0.0000, 0.0000], [0.3333, 0.6667, 0.4611], [0.6667, 0.3333, 0.2462]],
  "total_magnetization_mub_per_fu": 0.1
}


Winner for stability: A)


A) {
  "formula": "NaNdHo",
  "functional": "PBE",
  "state": "optimized geometry",
  "lattice_angstrom": [[-1.7706, 1.7706, 8.1716], [1.7706, -1.7706, 8.1716], [1.7706, 1.7706, -8.1716]],
  "species": ["Na", "Nd", "Ho"],
  "fractional_positions": [[0.0000, 0.0000, 0.0000], [0.6779, 0.6779, 0.0000], [0.3281, 0.3281, 0.0000]],
  "total_magnetization_mub_per_fu": 0.0
}


B) {
  "formula": "NaNdHo",
  "functional": "PBE",
  "state": "optimized geometry",
  "lattice_angstrom": [[0.0000, 5.5047, 5.8954], [3.2678, 0.0000, 5.8954], [3.2678, 5.5047, 0.0000]],
  "species": ["Na", "Na", "Nd", "Nd", "Ho", "Ho"],
  "fractional_positions": [[0.1320, 0.1320, 0.8680], [0.8680, 0.8680, 0.1320], [0.3278, 0.6722, 0.3278], [0.6722, 0.3278, 0.6722], [0.2500, 0.2500, 0.2500], [0.7500, 0.7500, 0.7500]],
  "total_magnetization_mub_per_fu": 0.0
}


C) {
  "formula": "NaNdHo",
  "functional": "PBE",
  "state": "optimized geometry",
  "lattice_angstrom": [[5.6651, 0.0000, 0.0000], [-2.8326, 4.9062, 0.0000], [0.0000, 0.0000, 7.1906]],
  "species": ["Na", "Na", "Nd", "Nd", "Ho", "Ho"],
  "fractional_positions": [[0.3333, 0.6667, 0.9996], [0.6667, 0.3333, 0.0004], [0.0000, 0.0000, 0.2672], [0.0000, 0.0000, 0.7328], [0.3333, 0.6667, 0.4998], [0.6667, 0.3333, 0.5002]],
  "total_magnetization_mub_per_fu": 0.0
}


Winner for stability: A)


A) {
  "formula": "NaNdHo2",
  "functional": "PBE",
  "state": "optimized geometry",
  "lattice_angstrom": [[1.7628, 1.0178, 12.7452], [-1.7628, 1.0178, 12.7452], [0.0000, -2.0355, 12.7452]],
  "species": ["Na", "Nd", "Ho", "Ho"],
  "fractional_positions": [[0.0000, 0.0000, 0.0000], [0.5000, 0.5000, 0.5000], [0.0915, 0.0915, 0.0915], [0.9085, 0.9085, 0.9085]],
  "total_magnetization_mub_per_fu": 0.0
}


B) {
  "formula": "NaNdHo2",
  "functional": "PBE",
  "state": "optimized geometry",
  "lattice_angstrom": [[3.5779, 0.0000, 0.0000], [0.0000, 3.5779, 0.0000], [0.0000, 0.0000, 10.4917]],
  "species": ["Na", "Nd", "Ho", "Ho"],
  "fractional_positions": [[0.0000, 0.0000, 0.0000], [0.0000, 0.0000, 0.5000], [0.5000, 0.5000, 0.2668], [0.5000, 0.5000, 0.7332]],
  "total_magnetization_mub_per_fu": 0.0
}


Winner for stability: B)


A) {
  "formula": "NaHo2Ni",
  "functional": "PBE",
  "state": "optimized geometry",
  "lattice_angstrom": [[1.9409, 1.1206, 10.1752], [-1.9409, 1.1206, 10.1752], [0.0000, -2.2411, 10.1752]],
  "species": ["Na", "Ho", "Ho", "Ni"],
  "fractional_positions": [[0.0000, 0.0000, 0.0000], [0.1201, 0.1201, 0.1201], [0.8799, 0.8799, 0.8799], [0.5000, 0.5000, 0.5000]],
  "total_magnetization_mub_per_fu": 0.0
}


B) {
  "formula": "NaHo2Ni",
  "functional": "PBE",
  "state": "optimized geometry",
  "lattice_angstrom": [[3.3560, 0.0000, 0.0000], [0.0000, 3.3560, 0.0000], [0.0000, 0.0000, 9.4878]],
  "species": ["Na", "Ho", "Ho", "Ni"],
  "fractional_positions": [[0.0000, 0.0000, 0.0000], [0.5000, 0.5000, 0.3306], [0.5000, 0.5000, 0.6694], [0.0000, 0.0000, 0.5000]],
  "total_magnetization_mub_per_fu": 0.0
}


Winner for stability: B)


A) {
  "formula": "NaHoO",
  "functional": "PBE",
  "state": "optimized geometry",
  "lattice_angstrom": [[3.6723, 0.0000, 0.0000], [-1.8362, 3.1803, 0.0000], [0.0000, 0.0000, 6.7169]],
  "species": ["Na", "Ho", "O"],
  "fractional_positions": [[0.0000, 0.0000, 0.0000], [0.6667, 0.3333, 0.4630], [0.3333, 0.6667, 0.5343]],
  "total_magnetization_mub_per_fu": 0.2
}


B) {
  "formula": "NaHoO",
  "functional": "PBE",
  "state": "optimized geometry",
  "lattice_angstrom": [[4.5809, 0.0000, 0.0000], [0.0000, 4.5809, 0.0000], [0.0000, 0.0000, 6.1793]],
  "species": ["Na", "Na", "Ho", "Ho", "O", "O"],
  "fractional_positions": [[0.2500, 0.2500, 0.0331], [0.7500, 0.7500, 0.9669], [0.2500, 0.7500, 0.5000], [0.7500, 0.2500, 0.5000], [0.2500, 0.2500, 0.4586], [0.7500, 0.7500, 0.5414]],
  "total_magnetization_mub_per_fu": 0.0
}


Winner for stability: B)